DFT (GGA-PBE) results for a relaxed Zn13Hg crystal.

Cell: 8.700 8.700 8.700 Å, 60.00 60.00 60.00°
Positions (direct):
Zn1 0.000 0.000 0.000
Zn2 0.061 0.301 0.699
Zn3 0.061 0.699 0.939
Zn4 0.061 0.939 0.301
Zn5 0.199 0.439 0.801
Zn6 0.199 0.561 0.439
Zn7 0.199 0.801 0.561
Zn8 0.301 0.061 0.939
Zn9 0.301 0.699 0.061
Zn10 0.301 0.939 0.699
Zn11 0.439 0.199 0.561
Zn12 0.439 0.561 0.801
Zn13 0.439 0.801 0.199
Zn14 0.500 0.500 0.500
Zn15 0.561 0.199 0.801
Zn16 0.561 0.439 0.199
Zn17 0.561 0.801 0.439
Zn18 0.699 0.061 0.301
Zn19 0.699 0.301 0.939
Zn20 0.699 0.939 0.061
Zn21 0.801 0.199 0.439
Zn22 0.801 0.439 0.561
Zn23 0.801 0.561 0.199
Zn24 0.939 0.061 0.699
Zn25 0.939 0.301 0.061
Zn26 0.939 0.699 0.301
Hg1 0.250 0.250 0.250
Hg2 0.750 0.750 0.750

Values from the calculation:
**DOS at the Fermi energy**: 0.376 states/eV per atom
**ΔE_f**: 0.047 eV per atom
**V**: 466 Å³ per cell


DFT (GGA-PBE) results for a relaxed Zn5Hg crystal.

Cell: 5.240 5.240 5.240 Å, 60.00 60.00 60.00°
Positions (direct):
Zn1 0.000 0.000 0.000
Zn2 0.124 0.625 0.625
Zn3 0.625 0.124 0.625
Zn4 0.625 0.625 0.124
Zn5 0.625 0.625 0.625
Hg1 0.250 0.250 0.250

Values from the calculation:
**DOS at the Fermi energy**: 0.316 states/eV per atom
**ΔE_f**: 0.115 eV per atom
**V**: 102 Å³ per cell


DFT (GGA-PBE) results for a relaxed ZnHg crystal.

Cell: 5.270 6.397 10.204 Å, 90.00 90.00 90.00°
Positions (direct):
Zn1 0.075 0.101 0.203
Zn2 0.209 0.475 0.097
Zn3 0.291 0.525 0.597
Zn4 0.425 0.899 0.703
Zn5 0.575 0.399 0.797
Zn6 0.709 0.025 0.903
Zn7 0.791 0.975 0.403
Zn8 0.925 0.601 0.297
Hg1 0.079 0.340 0.838
Hg2 0.203 0.880 0.964
Hg3 0.297 0.120 0.464
Hg4 0.421 0.660 0.338
Hg5 0.579 0.160 0.162
Hg6 0.703 0.620 0.036
Hg7 0.797 0.380 0.536
Hg8 0.921 0.840 0.662

Values from the calculation:
**DOS at the Fermi energy**: 0.297 states/eV per atom
**ΔE_f**: 0.104 eV per atom
**V**: 344 Å³ per cell


DFT (GGA-PBE) results for a relaxed ZnHg2 crystal.

Cell: 4.625 4.625 3.379 Å, 90.00 90.00 90.00°
Positions (direct):
Zn1 0.000 0.000 0.000
Hg1 0.000 0.500 0.500
Hg2 0.500 0.000 0.500

Values from the calculation:
**DOS at the Fermi energy**: 0.266 states/eV per atom
**ΔE_f**: 0.086 eV per atom
**V**: 72 Å³ per cell


DFT (GGA-PBE) results for a relaxed ZnHg12 crystal.

Cell: 6.662 7.219 7.479 Å, 95.93 94.86 93.20°
Positions (direct):
Zn1 0.000 0.000 0.000
Hg1 0.096 0.643 0.872
Hg2 0.140 0.940 0.340
Hg3 0.176 0.358 0.550
Hg4 0.367 0.546 0.227
Hg5 0.369 0.169 0.935
Hg6 0.431 0.818 0.637
Hg7 0.569 0.182 0.363
Hg8 0.631 0.831 0.065
Hg9 0.633 0.454 0.773
Hg10 0.824 0.642 0.450
Hg11 0.860 0.060 0.660
Hg12 0.904 0.357 0.128

Values from the calculation:
**DOS at the Fermi energy**: 0.162 states/eV per atom
**ΔE_f**: 0.024 eV per atom
**V**: 356 Å³ per cell


DFT (GGA-PBE) results for a relaxed Zn5Hg crystal.

Cell: 4.401 8.107 8.107 Å, 20.42 90.00 90.00°
Positions (direct):
Zn1 0.000 0.000 0.000
Zn2 0.000 0.300 0.300
Zn3 0.000 0.653 0.653
Zn4 0.500 0.191 0.191
Zn5 0.500 0.544 0.544
Hg1 0.500 0.875 0.875

Values from the calculation:
**DOS at the Fermi energy**: 0.225 states/eV per atom
**ΔE_f**: 0.091 eV per atom
**V**: 101 Å³ per cell


DFT (GGA-PBE) results for a relaxed ZnHg crystal.

Cell: 3.132 3.132 8.323 Å, 90.00 90.00 90.00°
Positions (direct):
Zn1 0.250 0.250 0.091
Zn2 0.750 0.750 0.909
Hg1 0.250 0.250 0.657
Hg2 0.750 0.750 0.343

Values from the calculation:
**DOS at the Fermi energy**: 0.220 states/eV per atom
**ΔE_f**: 0.107 eV per atom
**V**: 82 Å³ per cell


DFT (GGA-PBE) results for a relaxed ZnHg2 crystal.

Cell: 6.121 7.161 3.419 Å, 90.00 90.00 90.00°
Positions (direct):
Zn1 0.000 0.000 0.000
Zn2 0.500 0.500 0.500
Hg1 0.178 0.348 0.000
Hg2 0.322 0.848 0.500
Hg3 0.678 0.152 0.500
Hg4 0.822 0.652 0.000

Values from the calculation:
**DOS at the Fermi energy**: 0.268 states/eV per atom
**ΔE_f**: 0.079 eV per atom
**V**: 150 Å³ per cell


DFT (GGA-PBE) results for a relaxed ZnHg crystal.

Cell: 4.344 4.344 5.353 Å, 90.00 90.00 120.00°
Positions (direct):
Zn1 0.000 0.000 0.000
Zn2 0.000 0.000 0.500
Hg1 0.333 0.667 0.250
Hg2 0.667 0.333 0.750

Values from the calculation:
**DOS at the Fermi energy**: 0.251 states/eV per atom
**ΔE_f**: 0.081 eV per atom
**V**: 87 Å³ per cell


DFT (GGA-PBE) results for a relaxed ZnHg2 crystal.

Cell: 5.043 5.043 3.206 Å, 90.00 90.00 120.00°
Positions (direct):
Zn1 0.000 0.000 0.000
Hg1 0.333 0.667 0.269
Hg2 0.667 0.333 0.731

Values from the calculation:
**DOS at the Fermi energy**: 0.186 states/eV per atom
**ΔE_f**: 0.144 eV per atom
**V**: 71 Å³ per cell


DFT (GGA-PBE) results for a relaxed ZnHg crystal.

Cell: 5.415 5.415 5.415 Å, 133.81 133.81 67.39°
Positions (direct):
Zn1 0.375 0.625 0.750
Zn2 0.625 0.375 0.250
Hg1 0.125 0.875 0.250
Hg2 0.875 0.125 0.750

Values from the calculation:
**DOS at the Fermi energy**: 0.322 states/eV per atom
**ΔE_f**: 0.153 eV per atom
**V**: 81 Å³ per cell


DFT (GGA-PBE) results for a relaxed ZnHg2 crystal.

Cell: 5.254 5.254 5.805 Å, 90.00 90.00 120.00°
Positions (direct):
Zn1 0.333 0.667 0.250
Zn2 0.667 0.333 0.750
Hg1 0.000 0.000 0.000
Hg2 0.000 0.000 0.500
Hg3 0.333 0.667 0.750
Hg4 0.667 0.333 0.250

Values from the calculation:
**DOS at the Fermi energy**: 0.297 states/eV per atom
**ΔE_f**: 0.137 eV per atom
**V**: 139 Å³ per cell


Among the records above, which one has the lowest V? number 10


Number 4 is which compound? ZnHg2


Which of these has the highest ΔE_f? number 11